(1)
MnHg2Au | PBE-GGA | relaxed

Cell lengths 4.1539, 4.1539, 20.1606 Å; angles 90.00, 90.00, 90.00 degrees
Space group I-42d (No. 122)
Asymmetric unit:
1 Mn 0.0000 0.0000 0.0000 (multiplicity 4)
2 Hg 0.2482 0.2500 0.1250 (multiplicity 8)
3 Au 0.0000 0.0000 0.5000 (multiplicity 4)

Properties
* size of the total moment: 17.459 μB per cell
* ΔE to the lowest computed polymorph: 158 meV per atom
* volume: 21.74 Å³ per atom
* formation enthalpy at 0 K: 278 meV per atom



(2)
MnHg3Au | PBE-GGA | relaxed

Cell lengths 5.3662, 5.3662, 5.3662 Å; angles 90.00, 90.00, 90.00 degrees
Space group Pm-3m (No. 221)
Asymmetric unit:
1 Mn 0.0000 0.0000 0.0000 (multiplicity 1)
2 Hg 0.0000 0.5000 0.5000 (multiplicity 3)
3 Au 0.5000 0.5000 0.5000 (multiplicity 1)

Properties
* size of the total moment: 4.947 μB per cell
* ΔE to the lowest computed polymorph: 37 meV per atom
* volume: 30.91 Å³ per atom
* formation enthalpy at 0 K: 607 meV per atom



(3)
MnHg2Au | PBE-GGA | relaxed

Cell lengths 3.3678, 3.3678, 6.7985 Å; angles 90.00, 90.00, 90.00 degrees
Space group P4/mmm (No. 123)
Asymmetric unit:
1 Mn 0.0000 0.0000 0.0000 (multiplicity 1)
2 Hg 0.5000 0.5000 0.2397 (multiplicity 2)
3 Au 0.0000 0.0000 0.5000 (multiplicity 1)

Properties
* size of the total moment: 4.001 μB per cell
* ΔE to the lowest computed polymorph: 95 meV per atom
* volume: 19.28 Å³ per atom
* formation enthalpy at 0 K: 215 meV per atom



(4)
MnHg2Au | PBE-GGA | relaxed

Cell lengths 9.1995, 3.3260, 5.4119 Å; angles 90.00, 102.06, 90.00 degrees
Space group Cm (No. 8)
Asymmetric unit:
1 Mn 0.0000 0.0000 0.0000 (multiplicity 2)
2 Hg 0.0094 0.5000 0.5346 (multiplicity 2)
3 Hg 0.2444 0.5000 0.2505 (multiplicity 2)
4 Au 0.2680 0.0000 0.8013 (multiplicity 2)

Properties
* size of the total moment: 8.388 μB per cell
* ΔE to the lowest computed polymorph: 68 meV per atom
* volume: 20.24 Å³ per atom
* formation enthalpy at 0 K: 189 meV per atom



Which of these has the lowest size of the total moment?
number 3



Look up the size of the total moment of the first one.
17.459 μB per cell